Entry from OQMD: KRbInAg2Au after structural relaxation (PBE).

abc: 5.7103 6.6631 9.3816
angles: 90.00 90.00 90.00
Closest atoms and distances in Å follow each position.
Sites, in units of the cell vectors:
K 0.2500 0.0000 0.1362  6 Ag 3.49-3.75, 2 K 3.83, 4 Au 3.84
K 0.7500 0.0000 0.8638  6 Ag 3.49-3.75, 2 K 3.83, 4 Au 3.84
Rb 0.2500 0.5000 0.3699  4 Ag 3.54, 2 Au 3.75, 2 Rb 3.76, 2 In 3.84
Rb 0.7500 0.5000 0.6301  4 Ag 3.54, 2 Au 3.75, 2 Rb 3.76, 2 In 3.84
In 0.2500 0.0000 0.5742  2 Ag 2.76
In 0.7500 0.0000 0.4258  2 Ag 2.76
Ag 0.2500 0.2814 0.7901  1 In 2.76, 2 Au 2.83, 1 Ag 2.91
Ag 0.2500 0.7186 0.7901  1 In 2.76, 2 Au 2.83, 1 Ag 2.91
Ag 0.7500 0.2814 0.2099  1 In 2.76, 2 Au 2.83, 1 Ag 2.91
Ag 0.7500 0.7186 0.2099  1 In 2.76, 2 Au 2.83, 1 Ag 2.91
Au 0.0000 0.5000 0.0000  4 Ag 2.83, 2 Au 2.86
Au 0.5000 0.5000 0.0000  4 Ag 2.83, 2 Au 2.86

The total energy comes out at -2.4273 eV per atom. For the energy relative to the lowest polymorph listed for this composition, the calculation gives 0.00 eV/f.u.